# 1
Li2Ga3Ru: optimized geometry, PBE.

a = 4.4572 Å, b = 5.7624 Å, c = 6.9399 Å
α = 90.00°, β = 105.42°, γ = 90.00°
Last column: nearest neighbours and their distance in Å.
Sites, in units of the cell vectors:
Li 0.0000 0.0000 0.0000  8 Ga 2.70-2.71, 4 Li 2.88-2.93
Li 0.0000 0.5000 0.0000  8 Ga 2.61-2.70, 2 Li 2.88
Li 0.3272 0.0000 0.6852  8 Ga 2.60-2.72, 2 Ru 2.88
Li 0.6728 0.0000 0.3148  8 Ga 2.60-2.72, 2 Ru 2.88
Ga 0.1836 0.2523 0.3408  3 Ru 2.62-2.66, 5 Li 2.67-2.72, 2 Ga 2.86-2.91
Ga 0.1836 0.7477 0.3408  3 Ru 2.62-2.66, 5 Li 2.67-2.72, 2 Ga 2.86-2.91
Ga 0.5000 0.2631 0.0000  6 Li 2.60-2.70, 2 Ru 2.61, 1 Ga 2.73
Ga 0.5000 0.7369 0.0000  6 Li 2.60-2.70, 2 Ru 2.61, 1 Ga 2.73
Ga 0.8164 0.2523 0.6592  3 Ru 2.62-2.66, 5 Li 2.67-2.72, 2 Ga 2.86-2.91
Ga 0.8164 0.7477 0.6592  3 Ru 2.62-2.66, 5 Li 2.67-2.72, 2 Ga 2.86-2.91
Ru 0.3186 0.5000 0.6695  8 Ga 2.61-2.66, 2 Li 2.88
Ru 0.6814 0.5000 0.3305  8 Ga 2.61-2.66, 2 Li 2.88

space group: P2/m
E above lowest polymorph: 0 meV per atom
ΔE_f: -33 kJ per mole of atoms
size of the total moment: 0.00 μB per formula unit


# 2
B2Te2F: optimized geometry, PBE.

a = 7.5243 Å, b = 7.5243 Å, c = 3.4941 Å
α = 90.00°, β = 90.00°, γ = 90.00°
Last column: nearest neighbours and their distance in Å.
Sites, in units of the cell vectors:
B 0.0758 0.4242 0.0000  1 B 1.61
B 0.4242 0.9242 0.0000  1 B 1.61
B 0.5758 0.0758 0.0000  1 B 1.61
B 0.9242 0.5758 0.0000  1 B 1.61
Te 0.2000 0.3000 0.5000  2 B 2.19
Te 0.3000 0.8000 0.5000  2 B 2.19
Te 0.7000 0.2000 0.5000  2 B 2.19
Te 0.8000 0.7000 0.5000  2 B 2.19
F 0.0000 0.0000 0.5000  4 Te 2.71
F 0.5000 0.5000 0.5000  4 Te 2.71

space group: P4/mbm
E above lowest polymorph: 0 meV per atom
size of the total moment: 0.00 μB per formula unit
energy relative to the elements, uncorrected: 0.318 eV/f.u.


# 3
LaP2OF: optimized geometry, PBE.

a = 6.0828 Å, b = 6.0828 Å, c = 4.2804 Å
α = 90.00°, β = 90.00°, γ = 90.00°
Last column: nearest neighbours and their distance in Å.
Sites, in units of the cell vectors:
La 0.0000 0.0000 0.0000  2 O 2.14
P 0.0000 0.5000 0.0000  2 La 3.04
P 0.5000 0.0000 0.0000  2 La 3.04
O 0.0000 0.0000 0.5000  2 La 2.14
F 0.5000 0.5000 0.5000  8 P 3.72

space group: P4/mmm
E above lowest polymorph: 754 meV per atom
size of the total moment: 4.71 μB per formula unit
energy relative to the elements, uncorrected: 0.024 eV/f.u.


# 4
Li2IrCl: optimized geometry, PBE.

a = 2.7679 Å, b = 2.7679 Å, c = 10.4696 Å
α = 90.00°, β = 90.00°, γ = 112.92°
Last column: nearest neighbours and their distance in Å.
Sites, in units of the cell vectors:
Li 0.0000 0.0000 0.0000  2 Ir 2.51, 4 Li 2.77
Li 0.5000 0.5000 0.2806  2 Cl 2.15
Ir 0.5000 0.5000 0.8095  2 Li 2.51, 4 Ir 2.77
Cl 0.0000 0.0000 0.4256  2 Li 2.15

space group: Cmm2
E above lowest polymorph: 568 meV per atom
size of the total moment: 0.00 μB per formula unit
energy relative to the elements, uncorrected: -0.059 eV/f.u.